No. 1
PIr2 | PBE | optimized geometry

It has space group Fm-3m (No. 225), with a = 5.592 Å, b = 5.592 Å, c = 5.592 Å, α = 90.00°, β = 90.00° and γ = 90.00°. The inequivalent atoms are P at (0.000, 0.000, 0.000) and Ir at (0.250, 0.250, 0.250).

The calculation puts the formation energy at -0.40 eV/atom. The value obtained for the total DFT energy (no corrections) is -8.109 eV/atom.

No. 2
CeGa5PdAu2 | PBE | optimized geometry

It has space group P4/mmm (No. 123), with a = 4.258 Å, b = 4.258 Å, c = 10.897 Å, α = 90.00°, β = 90.00° and γ = 90.00°. The inequivalent atoms are Ce at (0.000, 0.000, 0.000), Ga at (0.000, 0.500, 0.364), Ga at (0.500, 0.500, 0.000), Pd at (0.000, 0.000, 0.500) and Au at (0.500, 0.500, 0.223).

The calculation puts the formation energy at -0.28 eV/atom. The value obtained for the total DFT energy (no corrections) is -3.925 eV/atom.

No. 3
PrHo3Ir | PBE | optimized geometry

It has space group Pm-3m (No. 221), with a = 5.434 Å, b = 5.434 Å, c = 5.434 Å, α = 90.00°, β = 90.00° and γ = 90.00°. The inequivalent atoms are Pr at (0.000, 0.000, 0.000), Ho at (0.000, 0.500, 0.500) and Ir at (0.500, 0.500, 0.500).

The calculation puts the formation energy at -0.32 eV/atom. The polymorph energy (0 for the lowest one) is 0.048 eV per atom. The value obtained for the total DFT energy (no corrections) is -5.790 eV/atom.

No. 4
K3Sn2Sb3 | PBE | optimized geometry

It has space group Cmcm (No. 63), with a = 5.644 Å, b = 12.648 Å, c = 16.141 Å, α = 90.00°, β = 90.00° and γ = 90.00°. The inequivalent atoms are K at (0.000, 0.066, 0.115), K at (0.000, 0.344, 0.250), Sn at (0.000, 0.226, 0.594), Sb at (0.000, 0.358, 0.750) and Sb at (0.000, 0.391, 0.038).

The polymorph energy (0 for the lowest one) is 0.000 eV per atom. The calculation puts the energy relative to the elements, uncorrected at -0.31 eV per atom. The value obtained for the total DFT energy (no corrections) is -3.264 eV/atom.

No. 5
TbPmMnHg | PBE | optimized geometry

It has space group F-43m (No. 216), with a = 7.391 Å, b = 7.391 Å, c = 7.391 Å, α = 90.00°, β = 90.00° and γ = 90.00°. The inequivalent atoms are Tb at (0.000, 0.000, 0.000), Pm at (0.000, 0.000, 0.500), Mn at (0.250, 0.250, 0.750) and Hg at (0.250, 0.250, 0.250).

The calculation puts the formation energy at -0.07 eV/atom. The value obtained for the total DFT energy (no corrections) is -4.782 eV/atom.

No. 6
La2CdHg | PBE | optimized geometry

It has space group F-43m (No. 216), with a = 7.670 Å, b = 7.670 Å, c = 7.670 Å, α = 90.00°, β = 90.00° and γ = 90.00°. The inequivalent atoms are La at (0.000, 0.000, 0.000), La at (0.250, 0.250, 0.250), Cd at (0.000, 0.000, 0.500) and Hg at (0.250, 0.250, 0.750).

The calculation puts the formation energy at -0.10 eV/atom. The polymorph energy (0 for the lowest one) is 0.312 eV per atom. The value obtained for the total DFT energy (no corrections) is -2.869 eV/atom.

No. 7
Ac2In4Ga3Ag | PBE | optimized geometry

It has space group P-4m2 (No. 115), with a = 4.799 Å, b = 4.799 Å, c = 11.156 Å, α = 90.00°, β = 90.00° and γ = 90.00°. The inequivalent atoms are Ac at (0.000, 0.500, 0.242), In at (0.000, 0.000, 0.500), In at (0.000, 0.500, 0.873), In at (0.500, 0.500, 0.500), Ga at (0.000, 0.000, 0.000), Ga at (0.000, 0.500, 0.635) and Ag at (0.500, 0.500, 0.000).

The calculation puts the formation energy at -0.35 eV/atom. The value obtained for the total DFT energy (no corrections) is -3.465 eV/atom.

No. 8
In4HgPb4 | PBE | optimized geometry

It has space group I4/mmm (No. 139), with a = 10.361 Å, b = 10.361 Å, c = 4.873 Å, α = 90.00°, β = 90.00° and γ = 90.00°. The inequivalent atoms are In at (0.000, 0.336, 0.000), Hg at (0.000, 0.000, 0.000) and Pb at (0.167, 0.167, 0.500).

The calculation puts the formation energy at 0.01 eV/atom. The polymorph energy (0 for the lowest one) is 0.000 eV per atom. The value obtained for the total DFT energy (no corrections) is -2.885 eV/atom.

Number 1: volume 43.71 Å³/f.u., magnetic moment 0.0000 μB per atom. Number 2: volume 197.57 Å³/f.u., magnetic moment 0.1463 μB per atom. Number 3: volume 160.46 Å³/f.u., magnetic moment 0.0000 μB per atom. Number 4: volume 288.06 Å³/f.u., magnetic moment 0.0000 μB per atom. Number 5: volume 100.93 Å³/f.u., magnetic moment 0.7863 μB per atom. Number 6: volume 112.81 Å³/f.u., magnetic moment 0.4062 μB per atom. Number 7: volume 256.92 Å³/f.u., magnetic moment 0.0000 μB per atom. Number 8: volume 261.56 Å³/f.u., magnetic moment 0.0000 μB per atom.